BPtPb after structural relaxation, computed with PBE.

The structure in POSCAR format:
```
BPtPb
1.0
12.774 0.000 0.000
0.000 3.204 0.000
0.000 0.000 5.860
B Pt Pb
4 4 4
direct
0.001 0.250 0.068
0.499 0.750 0.568
0.501 0.250 0.432
0.999 0.750 0.932
0.006 0.750 0.294
0.494 0.250 0.794
0.506 0.750 0.206
0.994 0.250 0.706
0.200 0.250 0.482
0.300 0.750 0.982
0.700 0.250 0.018
0.800 0.750 0.518
```

Output
- uncorrected energy (eV per cell) = -66.33
- space group = Pnma (62)

***

ZrAlRe2 after structural relaxation, computed with PBE.

The structure in POSCAR format:
```
ZrAlRe2
1.0
3.412 0.000 0.000
0.000 4.342 0.000
0.000 0.000 4.430
Zr Al Re
1 1 2
direct
0.000 0.000 0.000
0.500 0.000 0.500
0.000 0.500 0.500
0.500 0.500 0.000
```

Output
- uncorrected energy (eV per cell) = -37.36
- space group = Pmmm (47)

***

HfGeI6 after structural relaxation, computed with PBE.

The structure in POSCAR format:
```
HfGeI6
1.0
7.258 0.000 0.000
0.000 14.099 0.000
-2.317 0.000 6.880
Hf Ge I
2 2 12
direct
0.000 0.000 0.000
0.500 0.500 0.000
0.000 0.500 0.500
0.500 0.000 0.500
0.240 0.143 0.240
0.240 0.857 0.240
0.241 0.000 0.760
0.259 0.500 0.240
0.260 0.357 0.760
0.260 0.643 0.760
0.740 0.357 0.240
0.740 0.643 0.240
0.741 0.500 0.760
0.759 0.000 0.240
0.760 0.143 0.760
0.760 0.857 0.760
```

Output
- uncorrected energy (eV per cell) = -57.84
- space group = C2/m (12)
- formation energy from raw total energies (meV/atom) = -631

***

ReSe2BrF after structural relaxation, computed with PBE.

The structure in POSCAR format:
```
ReSe2BrF
1.0
4.346 0.000 0.000
0.000 4.346 0.000
0.000 0.000 5.865
Re Se Br F
1 2 1 1
direct
0.000 0.000 0.000
0.000 0.500 0.500
0.500 0.000 0.500
0.500 0.500 0.000
0.500 0.500 0.500
```

Output
- uncorrected energy (eV per cell) = -17.47
- space group = P4/mmm (123)
- polymorph energy (0 for the lowest one) (kcal/mol of atoms) = 21.09
- formation energy from raw total energies (meV/atom) = 1097